1.
Material: Sm2PuThS4
Method: DFT, PBE
State: relaxed

a = 6.943 Å, b = 3.989 Å, c = 6.951 Å
α = 90.00°, β = 109.32°, γ = 90.00°
Space group P2/m (No. 10)
Unique sites:
Sm: 0.000 0.000 0.000 x1
Sm: 0.500 0.500 0.000 x1
Pu: 0.000 0.500 0.500 x1
Th: 0.500 0.000 0.500 x1
S: 0.246 0.000 0.748 x2
S: 0.246 0.500 0.248 x2

Properties
N(E_F) = 9.597 states/eV/cell
total magnetic moment = 0.7037 μB/atom
formation energy from raw total energies = -1917 meV/atom

=====

2.
Material: ScNi2Os
Method: DFT, PBE
State: relaxed

a = 8.923 Å, b = 2.738 Å, c = 4.627 Å
α = 90.00°, β = 102.13°, γ = 90.00°
Space group Cm (No. 8)
Unique sites:
Sc: 0.000 0.000 0.000 x2
Ni: 0.007 0.500 0.502 x2
Ni: 0.243 0.000 0.773 x2
Os: 0.264 0.500 0.322 x2

Properties
energy of formation from the pure elements = -0.1165 eV/atom
excess energy over the best structure of this formula in the dataset = 41 meV/atom
N(E_F) = 7.918 states/eV/cell
total magnetic moment = 0.0000 μB/atom

=====

3.
Material: BaTaPd3
Method: DFT, PBE
State: relaxed

a = 5.173 Å, b = 5.173 Å, c = 5.173 Å
α = 90.00°, β = 90.00°, γ = 90.00°
Space group Pm-3m (No. 221)
Unique sites:
Ba: 0.000 0.000 0.000 x1
Ta: 0.500 0.500 0.500 x1
Pd: 0.000 0.000 0.500 x3

Properties
energy of formation from the pure elements = 1.8638 eV/atom
excess energy over the best structure of this formula in the dataset = 1736 meV/atom
N(E_F) = 16.792 states/eV/cell
total magnetic moment = 0.0013 μB/atom

=====

4.
Material: Ac2SeO2
Method: DFT, PBE
State: relaxed

a = 10.141 Å, b = 4.183 Å, c = 10.728 Å
α = 90.00°, β = 90.00°, γ = 90.00°
Space group Pnma (No. 62)
Unique sites:
Ac: 0.010 0.250 0.157 x4
Ac: 0.157 0.250 0.535 x4
Se: 0.244 0.250 0.821 x4
O: 0.047 0.750 0.606 x4
O: 0.093 0.750 0.053 x4

Properties
excess energy over the best structure of this formula in the dataset = 0 meV/atom
N(E_F) = 0.000 states/eV/cell
total magnetic moment = 0.0000 μB/atom
formation energy from raw total energies = -3001 meV/atom

=====

5.
Material: LaPbAu6
Method: DFT, PBE
State: relaxed

a = 5.624 Å, b = 5.624 Å, c = 5.624 Å
α = 90.00°, β = 90.00°, γ = 90.00°
Space group Pm-3 (No. 200)
Unique sites:
La: 0.000 0.000 0.000 x1
Pb: 0.500 0.500 0.500 x1
Au: 0.000 0.250 0.500 x6

Properties
energy of formation from the pure elements = -0.2900 eV/atom
N(E_F) = 4.105 states/eV/cell
total magnetic moment = 0.0000 μB/atom

=====

6.
Material: SrEr4Si4
Method: DFT, PBE
State: relaxed

a = 9.386 Å, b = 9.386 Å, c = 5.639 Å
α = 90.00°, β = 90.00°, γ = 90.00°
Space group P4_2/n (No. 86, origin choice 2)
Unique sites:
Sr: 0.250 0.250 0.250 x2
Er: 0.115 0.631 0.129 x8
Si: 0.063 0.576 0.640 x8

Properties
N(E_F) = 7.347 states/eV/cell
total magnetic moment = 0.0000 μB/atom
formation energy from raw total energies = -519 meV/atom

=====

7.
Material: PrY2Se
Method: DFT, PBE
State: relaxed

a = 3.8274 Å, b = 3.8274 Å, c = 28.8193 Å
α = 90.00°, β = 90.00°, γ = 120.00°
Space group R3m (No. 160, hexagonal axes)
Unique sites:
Pr: 0.0000 0.0000 0.0000 x3
Y: 0.0000 0.0000 0.2298 x3
Y: 0.0000 0.0000 0.4360 x3
Se: 0.0000 0.0000 0.8329 x3

Properties
excess energy over the best structure of this formula in the dataset = 0 meV/atom
N(E_F) = 12.613 states/eV/cell
total magnetic moment = 0.1192 μB/atom
formation energy from raw total energies = -830 meV/atom

=====

8.
Material: Tb3Tm7In2
Method: DFT, PBE
State: relaxed

a = 6.4838 Å, b = 6.4838 Å, c = 31.1517 Å
α = 90.00°, β = 90.00°, γ = 120.00°
Space group R-3m (No. 166, hexagonal axes)
Unique sites:
Tb: 0.0000 0.0000 0.0000 x3
Tb: 0.0000 0.0000 0.1441 x6
Tm: 0.0000 0.0000 0.5000 x3
Tm: 0.0010 0.5005 0.9191 x18
In: 0.0000 0.0000 0.3336 x6

Properties
energy of formation from the pure elements = 0.0983 eV/atom
N(E_F) = 67.171 states/eV/cell
total magnetic moment = 0.0002 μB/atom

=====

9.
Material: CaNiGe
Method: DFT, PBE
State: relaxed

a = 4.1030 Å, b = 4.1030 Å, c = 4.1046 Å
α = 90.00°, β = 90.00°, γ = 120.00°
Space group P-6m2 (No. 187)
Unique sites:
Ca: 0.0000 0.0000 0.0000 x1
Ni: 0.3333 0.6667 0.5000 x1
Ge: 0.6667 0.3333 0.5000 x1

Properties
energy of formation from the pure elements = -0.5085 eV/atom
N(E_F) = 1.784 states/eV/cell
total magnetic moment = 0.0000 μB/atom

=====

10.
Material: Pu3MgIr2
Method: DFT, PBE
State: relaxed

a = 4.882 Å, b = 14.030 Å, c = 3.760 Å
α = 90.00°, β = 90.00°, γ = 90.00°
Space group Cmmm (No. 65)
Unique sites:
Pu: 0.000 0.000 0.000 x2
Pu: 0.000 0.308 0.000 x4
Mg: 0.000 0.500 0.500 x2
Ir: 0.000 0.141 0.500 x4

Properties
energy of formation from the pure elements = -0.2791 eV/atom
N(E_F) = 38.794 states/eV/cell
total magnetic moment = 2.5707 μB/atom

=====

11.
Material: Rb4Nd3CrSe8
Method: DFT, PBE
State: relaxed

a = 8.5312 Å, b = 8.5312 Å, c = 24.0121 Å
α = 90.00°, β = 90.00°, γ = 120.00°
Space group R-3m (No. 166, hexagonal axes)
Unique sites:
Rb: 0.0000 0.0000 0.0000 x3
Rb: 0.0000 0.5000 0.0000 x9
Nd: 0.0000 0.5000 0.5000 x9
Cr: 0.0000 0.0000 0.5000 x3
Se: 0.0000 0.0000 0.2350 x6
Se: 0.0284 0.5142 0.2299 x18

Properties
total magnetic moment = 0.1865 μB/atom
formation energy from raw total energies = -1437 meV/atom

=====

12.
Material: YMgPCl2
Method: DFT, PBE
State: relaxed

a = 5.121 Å, b = 5.121 Å, c = 5.653 Å
α = 90.00°, β = 90.00°, γ = 90.00°
Space group P4/mmm (No. 123)
Unique sites:
Y: 0.000 0.000 0.000 x1
Mg: 0.500 0.500 0.500 x1
P: 0.000 0.000 0.500 x1
Cl: 0.000 0.500 0.000 x2

Properties
excess energy over the best structure of this formula in the dataset = 109 meV/atom
N(E_F) = 1.314 states/eV/cell
total magnetic moment = 0.0000 μB/atom
formation energy from raw total energies = -921 meV/atom